# Ho3Cd2Au

A relaxed structure of Ho3Cd2Au (PBE-GGA, Alexandria via LeMat-Bulk).

a b c (Å): 3.665 3.665 11.102
angles (deg): 90.00 90.00 90.00
Positions (direct):
Ho: 0.000 0.000 0.345
Ho: 0.000 0.000 0.655
Ho: 0.000 0.000 0.000
Cd: 0.500 0.500 0.832
Cd: 0.500 0.500 0.168
Au: 0.500 0.500 0.500

Summary:
- formation energy from the elements (eV per atom) = -0.506

---

# Ho7Cd2Au2

A relaxed structure of Ho7Cd2Au2 (PBE-GGA, Alexandria via LeMat-Bulk).

a b c (Å): 6.830 7.289 6.830
angles (deg): 90.00 108.17 90.00
Positions (direct):
Ho: 0.000 0.267 0.500
Ho: 0.500 0.733 0.000
Ho: 0.500 0.255 0.500
Ho: 0.500 0.267 0.000
Ho: 0.000 0.000 0.000
Ho: 0.500 0.745 0.500
Ho: 0.000 0.733 0.500
Cd: 0.174 0.500 0.174
Cd: 0.826 0.500 0.826
Au: 0.706 0.000 0.294
Au: 0.294 0.000 0.706

Summary:
- formation energy from the elements (eV per atom) = -0.236

---

# HoCd5Au

A relaxed structure of HoCd5Au (PBE-GGA, Alexandria via LeMat-Bulk).

a b c (Å): 4.840 4.840 7.044
angles (deg): 90.00 90.00 90.00
Positions (direct):
Cd: 0.500 0.500 0.000
Cd: 0.000 0.500 0.715
Cd: 0.500 0.000 0.715
Cd: 0.500 0.000 0.285
Cd: 0.000 0.500 0.285
Au: 0.000 0.000 0.500
Ho: 0.000 0.000 0.000

Summary:
- formation energy from the elements (eV per atom) = -0.250

---

# HoCdInAu

A relaxed structure of HoCdInAu (PBE-GGA, Alexandria via LeMat-Bulk).

a b c (Å): 5.012 5.012 5.012
angles (deg): 60.00 60.00 60.00
Positions (direct):
Au: 0.750 0.750 0.750
Ho: 0.000 0.000 0.000
In: 0.500 0.500 0.500
Cd: 0.250 0.250 0.250

Summary:
- formation energy from the elements (eV per atom) = -0.462

---

# Ho4CdIn2Au

A relaxed structure of Ho4CdIn2Au (PBE-GGA, Alexandria via LeMat-Bulk).

a b c (Å): 5.241 5.241 9.066
angles (deg): 73.20 73.20 60.00
Positions (direct):
In: 0.254 0.254 0.237
In: 0.746 0.746 0.763
Ho: 0.380 0.380 0.861
Ho: 0.129 0.129 0.613
Ho: 0.871 0.871 0.387
Ho: 0.620 0.620 0.139
Au: 0.500 0.500 0.500
Cd: 0.000 0.000 0.000

Summary:
- formation energy from the elements (eV per atom) = -0.516

---

# Ho2CdInAu4

A relaxed structure of Ho2CdInAu4 (PBE-GGA, Alexandria via LeMat-Bulk).

a b c (Å): 4.930 4.930 8.521
angles (deg): 73.19 73.19 60.00
Positions (direct):
Cd: 0.000 0.000 0.000
Au: 0.625 0.625 0.125
Au: 0.375 0.375 0.875
Au: 0.875 0.875 0.374
Au: 0.125 0.125 0.626
Ho: 0.750 0.750 0.750
Ho: 0.250 0.250 0.250
In: 0.500 0.500 0.500

Summary:
- formation energy from the elements (eV per atom) = -0.689

---

# Ho4CdIr2Au

A relaxed structure of Ho4CdIr2Au (PBE-GGA, Alexandria via LeMat-Bulk).

a b c (Å): 4.983 4.983 8.616
angles (deg): 73.19 73.19 60.00
Positions (direct):
Ho: 0.127 0.127 0.618
Ho: 0.873 0.873 0.382
Ho: 0.623 0.623 0.132
Ho: 0.377 0.377 0.868
Au: 0.500 0.500 0.500
Ir: 0.253 0.253 0.240
Ir: 0.747 0.747 0.760
Cd: 0.000 0.000 0.000

Summary:
- formation energy from the elements (eV per atom) = -0.709

---

# LaHo2CdAu4

A relaxed structure of LaHo2CdAu4 (PBE-GGA, Alexandria via LeMat-Bulk).

a b c (Å): 5.008 5.008 9.154
angles (deg): 74.12 74.12 60.00
Positions (direct):
Au: 0.613 0.613 0.161
Au: 0.120 0.120 0.641
Au: 0.880 0.880 0.359
Au: 0.387 0.387 0.839
Ho: 0.236 0.236 0.291
Ho: 0.764 0.764 0.709
La: 0.000 0.000 0.000
Cd: 0.500 0.500 0.500

Summary:
- formation energy from the elements (eV per atom) = -0.728

---

# Li2HoCdAu2

A relaxed structure of Li2HoCdAu2 (PBE-GGA, Alexandria via LeMat-Bulk).

a b c (Å): 4.548 4.548 6.463
angles (deg): 90.00 90.00 120.00
Positions (direct):
Cd: 0.000 0.000 0.500
Li: 0.667 0.333 0.332
Li: 0.333 0.667 0.668
Au: 0.667 0.333 0.759
Au: 0.333 0.667 0.241
Ho: 0.000 0.000 0.000

Summary:
- formation energy from the elements (eV per atom) = -0.556

---

# Li2HoCdAu4

A relaxed structure of Li2HoCdAu4 (PBE-GGA, Alexandria via LeMat-Bulk).

a b c (Å): 4.759 4.759 8.248
angles (deg): 73.23 73.23 60.00
Positions (direct):
Cd: 0.500 0.500 0.500
Au: 0.125 0.125 0.624
Au: 0.622 0.622 0.134
Au: 0.378 0.378 0.866
Au: 0.875 0.875 0.376
Li: 0.246 0.246 0.262
Li: 0.754 0.754 0.738
Ho: 0.000 0.000 0.000

Summary:
- formation energy from the elements (eV per atom) = -0.544

---

# LiHoCdAu

A relaxed structure of LiHoCdAu (PBE-GGA, Alexandria via LeMat-Bulk).

a b c (Å): 4.861 4.861 4.861
angles (deg): 60.00 60.00 60.00
Positions (direct):
Ho: 0.250 0.250 0.250
Au: 0.000 0.000 0.000
Li: 0.500 0.500 0.500
Cd: 0.750 0.750 0.750

Summary:
- formation energy from the elements (eV per atom) = -0.483

---

# LiHo2CdAu4

A relaxed structure of LiHo2CdAu4 (PBE-GGA, Alexandria via LeMat-Bulk).

a b c (Å): 4.896 4.896 8.421
angles (deg): 73.10 73.10 60.00
Positions (direct):
Au: 0.620 0.620 0.140
Au: 0.129 0.129 0.614
Au: 0.871 0.871 0.386
Au: 0.380 0.380 0.860
Ho: 0.252 0.252 0.245
Ho: 0.748 0.748 0.755
Cd: 0.000 0.000 0.000
Li: 0.500 0.500 0.500

Summary:
- formation energy from the elements (eV per atom) = -0.697

---

Which formula does entry 10 have? Li2HoCdAu4